(1)
5
Lattice="4.975 0.000 0.000 0.000 4.975 0.000 0.000 0.000 5.471" Properties=species:S:1:pos:R:3 comment="AgHgS2Cl | Alexandria via LeMat-Bulk | PBE | optimized geometry" crystal_system=tetragonal total_energy_ev_per_atom=-2.06 de_polymorph_mev_per_atom=107.9 formation_energy_uncorrected_ev_per_atom=0.594 pbc="T T T"
S 0.000 2.487 0.000
S 2.487 0.000 0.000
Hg 0.000 0.000 0.000
Ag 2.487 2.487 2.736
Cl 0.000 0.000 2.736

(2)
10
Lattice="4.375 0.000 0.000 0.000 4.375 0.000 -2.188 -2.188 13.097" Properties=species:S:1:pos:R:3 comment="Ag3Hg2S2Cl3 | Alexandria via LeMat-Bulk | PBE | optimized geometry" crystal_system=tetragonal total_energy_ev_per_atom=-2.48 formation_energy_uncorrected_ev_per_atom=-0.186 pbc="T T T"
Ag 2.188 2.188 10.566
Ag 2.188 2.188 0.000
Ag 0.000 0.000 2.531
Hg 2.188 0.000 6.548
Hg 0.000 2.188 6.548
S 2.188 2.188 8.112
S 0.000 0.000 4.985
Cl 2.188 2.188 2.515
Cl 0.000 0.000 10.581
Cl 0.000 0.000 0.000